11
Lattice="-2.783 2.783 13.838 2.783 -2.783 13.838 2.783 2.783 -13.838" Properties=species:S:1:pos:R:3 comment="PBE Rb6H2Au3, optimized geometry" m_tot_mub_per_fu=0.000 final_energy_ev_per_atom=-2.221 pbc="T T T"
Rb 2.783 0.000 2.306
Rb 0.000 0.000 5.585
Rb 2.783 0.000 11.532
Rb 0.000 2.783 2.306
Rb 0.000 0.000 22.092
Rb 0.000 2.783 11.532
H 0.000 0.000 2.773
H 0.000 0.000 24.903
Au 0.000 0.000 9.146
Au 0.000 0.000 13.838
Au 0.000 0.000 18.530

4
Lattice="0.000 4.056 4.056 4.056 0.000 4.056 4.056 4.056 0.000" Properties=species:S:1:pos:R:3 comment="PBE LaPmLuTh, optimized geometry" m_tot_mub_per_fu=0.000 formation_energy_kj_per_mol_fu=53 pbc="T T T"
La 0.000 0.000 0.000
Pm 6.084 6.084 6.084
Lu 2.028 2.028 2.028
Th 4.056 4.056 4.056